DFT (GGA-PBE) results for a geometry-optimized Sr2CaZr structure.

Cell and atoms, written as POSCAR:
```
Sr2CaZr
1.0
-1.8743 -3.4988 5.4686
-4.3428 -0.7828 -5.1174
1.9530 -2.9350 -1.2084
Sr Ca Zr
2 1 1
Cartesian
0.0000 0.0000 0.0000
-3.1085 -2.1408 0.1756
-1.1949 -1.8589 -3.1629
0.0394 -3.2169 2.1301
```

## Properties
Crystal system: orthorhombic
M_tot in μB/f.u.: 2.31
Distance to the lowest polymorph of the same formula in meV/atom: 111

=====

DFT (GGA-PBE) results for a geometry-optimized SrCa2Zr structure.

Cell and atoms, written as POSCAR:
```
SrCa2Zr
1.0
12.5870 -0.0177 -0.0105
12.0542 3.6236 -0.0105
12.0541 1.7639 3.1650
Sr Ca Zr
1 2 1
Cartesian
9.1738 1.3424 0.7860
0.3641 0.0533 0.0312
17.9836 2.6316 1.5407
27.5215 4.0273 2.3579
```

## Properties
Crystal system: trigonal
M_tot in μB/f.u.: 0.97
Distance to the lowest polymorph of the same formula in meV/atom: 32

=====

DFT (GGA-PBE) results for a geometry-optimized Sr2CaZr structure.

Cell and atoms, written as POSCAR:
```
Sr2CaZr
1.0
9.4333 0.0000 0.0000
0.0000 9.4333 0.0000
4.7166 4.7166 3.5667
Sr Ca Zr
4 2 2
Cartesian
7.1890 2.3583 0.8917
2.2443 7.0749 0.8917
7.0749 6.9609 2.6750
11.7916 11.9056 2.6750
4.7166 4.7166 0.0000
4.7166 9.4333 1.7833
0.0000 0.0000 0.0000
9.4333 4.7166 1.7833
```

## Properties
Crystal system: tetragonal
M_tot in μB/f.u.: 2.00
Distance to the lowest polymorph of the same formula in meV/atom: 400

=====

DFT (GGA-PBE) results for a geometry-optimized Sr2CaZr structure.

Cell and atoms, written as POSCAR:
```
Sr2CaZr
1.0
6.6031 -0.0021 0.0067
5.5517 3.5749 0.0067
1.0917 0.3209 6.6440
Sr Ca Zr
2 1 1
Cartesian
1.1881 0.3492 6.5452
6.5269 1.9185 3.4275
3.3116 0.9734 1.6643
9.9349 2.9203 4.9930
```

## Properties
Crystal system: monoclinic
M_tot in μB/f.u.: 2.13
Distance to the lowest polymorph of the same formula in meV/atom: 103

=====

DFT (GGA-PBE) results for a geometry-optimized SrCaZr2 structure.

Cell and atoms, written as POSCAR:
```
SrCaZr2
1.0
3.8574 0.0000 0.0000
0.0000 3.8574 0.0000
0.0000 0.0000 8.4621
Sr Ca Zr
1 1 2
Cartesian
1.9287 1.9287 6.3466
1.9287 1.9287 2.1155
0.0000 0.0000 0.4174
0.0000 0.0000 3.8137
```

## Properties
Crystal system: tetragonal
M_tot in μB/f.u.: 0.06
Distance to the lowest polymorph of the same formula in meV/atom: 409

=====

DFT (GGA-PBE) results for a geometry-optimized SrCaZr2 structure.

Cell and atoms, written as POSCAR:
```
SrCaZr2
1.0
6.3415 0.0204 0.0000
2.8247 5.6777 0.0000
-4.5831 -2.8491 3.3307
Sr Ca Zr
1 1 2
Cartesian
3.1708 0.0102 1.6653
1.4123 2.8389 1.6653
0.0000 0.0000 0.0000
4.5831 2.8491 0.0000
```

## Properties
Crystal system: tetragonal
M_tot in μB/f.u.: 0.00
Distance to the lowest polymorph of the same formula in meV/atom: 308

=====

DFT (GGA-PBE) results for a geometry-optimized SrCaZr4 structure.

Cell and atoms, written as POSCAR:
```
SrCaZr4
1.0
5.1820 0.5277 3.4774
1.0446 5.2257 3.2901
-0.3986 -0.1019 6.2494
Sr Ca Zr
1 1 4
Cartesian
0.0000 0.0000 0.0000
4.3711 4.2386 9.7626
4.7583 2.3875 6.6189
1.9953 2.0758 7.9913
2.7099 4.7135 6.5262
2.1927 2.1262 4.8972
```

## Properties
Total DFT energy (no corrections) in eV/f.u.: -35.4
Crystal system: cubic
M_tot in μB/f.u.: 0.00

=====

DFT (GGA-PBE) results for a geometry-optimized SrCa2Zr structure.

Cell and atoms, written as POSCAR:
```
SrCa2Zr
1.0
-5.7618 2.0462 -2.4009
2.8890 -4.2101 -4.1326
-1.6770 -2.7776 1.6574
Sr Ca Zr
1 2 1
Cartesian
-3.7194 -0.3657 -0.3717
0.0000 0.0000 0.0000
-1.4364 -1.0819 -3.2667
0.6060 -3.4939 -1.2376
```

## Properties
Crystal system: orthorhombic
M_tot in μB/f.u.: 2.23
Distance to the lowest polymorph of the same formula in meV/atom: 125

=====

DFT (GGA-PBE) results for a geometry-optimized SrCaZr2 structure.

Cell and atoms, written as POSCAR:
```
SrCaZr2
1.0
-6.2273 0.1402 -0.5348
-5.4332 -3.0895 -0.1430
-1.2939 0.3980 5.9027
Sr Ca Zr
1 1 2
Cartesian
-3.2386 -0.6378 1.3062
-9.7158 -1.9135 3.9187
-1.2841 0.3788 5.7248
-6.4870 -1.2565 2.7904
```

## Properties
Crystal system: monoclinic
M_tot in μB/f.u.: 0.31
Distance to the lowest polymorph of the same formula in meV/atom: 239

=====

DFT (GGA-PBE) results for a geometry-optimized SrCa2Zr structure.

Cell and atoms, written as POSCAR:
```
SrCa2Zr
1.0
6.3964 0.0126 0.0000
1.9080 6.1052 0.0000
-4.1522 -3.0589 3.7837
Sr Ca Zr
1 2 1
Cartesian
0.9540 3.0526 1.8919
0.0000 0.0000 0.0000
4.1522 3.0589 0.0000
3.1982 0.0063 1.8919
```

## Properties
Crystal system: tetragonal
M_tot in μB/f.u.: 2.81
Distance to the lowest polymorph of the same formula in meV/atom: 135

=====

DFT (GGA-PBE) results for a geometry-optimized SrCaZr structure.

Cell and atoms, written as POSCAR:
```
SrCaZr
1.0
6.4657 0.0246 -0.0121
3.3038 5.5580 0.0121
-4.2713 -3.8648 2.9369
Sr Ca Zr
1 1 1
Cartesian
3.2153 1.8373 0.0000
0.1003 0.0573 0.0000
6.4539 3.6880 0.0000
```

## Properties
Crystal system: orthorhombic
M_tot in μB/f.u.: 1.82
Distance to the lowest polymorph of the same formula in meV/atom: 314

=====

DFT (GGA-PBE) results for a geometry-optimized SrCaZr2 structure.

Cell and atoms, written as POSCAR:
```
SrCaZr2
1.0
-4.9934 -2.1219 -1.3502
-4.1989 0.1687 3.6878
-4.3453 3.4102 -0.8653
Sr Ca Zr
1 1 2
Cartesian
-6.7688 0.7285 0.7362
0.0000 0.0000 0.0000
-3.3844 0.3642 0.3681
-10.1532 1.0927 1.1043
```

## Properties
Crystal system: cubic
M_tot in μB/f.u.: 0.00
Distance to the lowest polymorph of the same formula in meV/atom: 489